No. 1
Density functional theory data (GGA-PBE) for an optimized crystal structure of MnTl2InTe4.

Results
The calculation puts the uncorrected formation energy at -0.232 eV per atom.

```
MnTl2InTe4
1.0
-4.3322 4.4981 6.2812
4.3322 -4.4981 6.2812
4.3322 4.4981 -6.2812
Mn Tl In Te
2 4 2 8
direct
0.5000 0.0000 0.0000
0.5000 0.5000 0.5000
0.0000 0.0000 0.0000
0.0000 0.0000 0.5000
0.0000 0.5000 0.0000
0.5000 0.0000 0.5000
0.0000 0.5000 0.5000
0.5000 0.5000 0.0000
0.2698 0.2843 0.5145
0.2698 0.7552 0.9855
0.2826 0.7431 0.5394
0.2963 0.2569 0.0394
0.7037 0.7431 0.9606
0.7174 0.2569 0.4606
0.7302 0.2448 0.0145
0.7302 0.7157 0.4855
```

No. 2
Density functional theory data (GGA-PBE) for an optimized crystal structure of MnTl2InTe5.

Results
The calculation puts the uncorrected formation energy at -0.184 eV per atom.

```
MnTl2InTe5
1.0
2.0761 -10.0068 0.0000
2.0761 10.0068 0.0000
0.0000 0.0000 14.5450
Mn Tl In Te
2 4 2 10
direct
0.2306 0.7694 0.5000
0.7694 0.2306 0.0000
0.1027 0.8973 0.1210
0.1236 0.8764 0.7690
0.8764 0.1236 0.2690
0.8973 0.1027 0.6210
0.4210 0.5790 0.8959
0.5790 0.4210 0.3959
0.0876 0.9124 0.5274
0.2642 0.7358 0.1230
0.2794 0.7206 0.8734
0.3596 0.6404 0.4605
0.4938 0.5062 0.7356
0.5062 0.4938 0.2356
0.6404 0.3596 0.9605
0.7206 0.2794 0.3734
0.7358 0.2642 0.6230
0.9124 0.0876 0.0274
```

No. 3
Density functional theory data (GGA-PBE) for an optimized crystal structure of YMnInTe2.

Results
The calculation puts the uncorrected formation energy at -0.077 eV per atom.

```
YMnInTe2
1.0
5.3073 0.0000 0.0000
0.0000 5.3073 0.0000
0.0000 0.0000 5.0440
Y Mn In Te
1 1 1 2
direct
0.0000 0.0000 0.0000
0.5000 0.5000 0.5000
0.5000 0.5000 0.0000
0.0000 0.5000 0.5000
0.5000 0.0000 0.5000
```

No. 4
Density functional theory data (GGA-PBE) for an optimized crystal structure of Th4MnIn.

Results
Its energy relative to the elements is -0.05 eV per atom.

```
Th4MnIn
1.0
4.4630 -6.4750 0.0000
4.4630 6.4750 0.0000
-1.9650 0.0000 5.7684
Th Mn In
8 2 2
direct
0.0541 0.7174 0.9410
0.1897 0.3730 0.6341
0.2826 0.9459 0.5590
0.3730 0.1897 0.1341
0.6270 0.8103 0.8659
0.7174 0.0541 0.4410
0.8103 0.6270 0.3659
0.9459 0.2826 0.0590
0.0026 0.9974 0.2500
0.9974 0.0026 0.7500
0.3840 0.6160 0.2500
0.6160 0.3840 0.7500
```

No. 5
Density functional theory data (GGA-PBE) for an optimized crystal structure of Th2MnIn.

Results
For the relative energy among the computed polymorphs, the calculation gives 0 meV/atom. Its energy relative to the elements is 0.00 eV per atom.

```
Th2MnIn
1.0
3.3733 0.0000 0.0000
0.0000 3.3733 0.0000
0.0000 0.0000 8.7823
Th Mn In
2 1 1
direct
0.0000 0.0000 0.1992
0.0000 0.0000 0.8008
0.5000 0.5000 0.0000
0.5000 0.5000 0.5000
```

No. 6
Density functional theory data (GGA-PBE) for an optimized crystal structure of Th5Mn2In.

Results
Its energy relative to the elements is 0.04 eV per atom.

```
Th5Mn2In
1.0
-2.0168 3.5888 7.4052
2.0168 -3.5888 7.4052
2.0168 3.5888 -7.4052
Th Mn In
5 2 1
direct
0.0000 0.0000 0.0000
0.1087 0.3496 0.7592
0.4096 0.6504 0.7592
0.5904 0.3496 0.2408
0.8913 0.6504 0.2408
0.1818 0.1818 0.0000
0.8182 0.8182 0.0000
0.5000 0.0000 0.5000
```

No. 7
Density functional theory data (GGA-PBE) for an optimized crystal structure of Th2MnIn.

Results
For the relative energy among the computed polymorphs, the calculation gives 45 meV/atom. Its energy relative to the elements is 0.04 eV per atom.

```
Th2MnIn
1.0
4.7579 0.0000 0.0000
0.0000 4.7579 0.0000
0.0000 0.0000 4.6058
Th Mn In
2 1 1
direct
0.0000 0.5000 0.0000
0.5000 0.0000 0.0000
0.0000 0.0000 0.5000
0.5000 0.5000 0.5000
```

No. 8
Density functional theory data (GGA-PBE) for an optimized crystal structure of Th2MnIn.

Results
For the relative energy among the computed polymorphs, the calculation gives 119 meV/atom. Its energy relative to the elements is 0.11 eV per atom.

```
Th2MnIn
1.0
1.9602 1.1317 8.2480
-1.9602 1.1317 8.2480
0.0000 -2.2635 8.2480
Th Mn In
2 1 1
direct
0.2269 0.2269 0.2269
0.7731 0.7731 0.7731
0.5000 0.5000 0.5000
0.0000 0.0000 0.0000
```

No. 9
Density functional theory data (GGA-PBE) for an optimized crystal structure of Tm3Th3MnIn2.

Results
Its energy relative to the elements is -0.19 eV per atom.

```
Tm3Th3MnIn2
1.0
8.6753 0.0000 0.0000
-4.3377 7.5130 0.0000
0.0000 0.0000 3.7466
Tm Th Mn In
3 3 1 2
direct
0.0000 0.3983 0.0000
0.3983 0.0000 0.0000
0.6017 0.6017 0.0000
0.0000 0.7619 0.5000
0.2381 0.2381 0.5000
0.7619 0.0000 0.5000
0.0000 0.0000 0.0000
0.3333 0.6667 0.5000
0.6667 0.3333 0.5000
```

No. 10
Density functional theory data (GGA-PBE) for an optimized crystal structure of TmThMnIn.

Results
Its energy relative to the elements is 0.01 eV per atom.

```
TmThMnIn
1.0
0.0000 3.7042 3.7042
3.7042 0.0000 3.7042
3.7042 3.7042 0.0000
Tm Th Mn In
1 1 1 1
direct
0.0000 0.0000 0.0000
0.5000 0.5000 0.5000
0.2500 0.2500 0.2500
0.7500 0.7500 0.7500
```

No. 11
Density functional theory data (GGA-PBE) for an optimized crystal structure of TiMnIn.

Results
Its energy relative to the elements is 0.38 eV per atom.

```
TiMnIn
1.0
2.3687 1.3676 5.4814
-2.3687 1.3676 5.4814
0.0000 -2.7352 5.4814
Ti Mn In
2 2 2
direct
0.0849 0.0849 0.0849
0.9151 0.9151 0.9151
0.2097 0.2097 0.2097
0.7903 0.7903 0.7903
0.3934 0.3934 0.3934
0.6066 0.6066 0.6066
```

No. 12
Density functional theory data (GGA-PBE) for an optimized crystal structure of TiMnIn2.

Results
For the relative energy among the computed polymorphs, the calculation gives 0 meV/atom. Its energy relative to the elements is 0.01 eV per atom.

```
TiMnIn2
1.0
4.2309 0.0000 0.0000
0.0000 4.2309 0.0000
0.0000 0.0000 4.1568
Ti Mn In
1 1 2
direct
0.0000 0.0000 0.0000
0.5000 0.5000 0.0000
0.0000 0.5000 0.5000
0.5000 0.0000 0.5000
```

- What is the formula in the first record?
  MnTl2InTe4